1.
# ZrGe2AsRu PBE relaxed
data_ZrGe2AsRu
_chemical_formula_sum 'Zr1 Ge2 As1 Ru1'
_space_group_name_H-M_alt 'P 4/m m m'
_space_group_IT_number 123
_space_group_name_Hall '-P 4 2'
_cell_length_a 4.621
_cell_length_b 4.621
_cell_length_c 5.250
_cell_angle_alpha 90.00
_cell_angle_beta 90.00
_cell_angle_gamma 90.00
loop_
_atom_site_label
_atom_site_type_symbol
_atom_site_fract_x
_atom_site_fract_y
_atom_site_fract_z
_atom_site_occupancy
Zr1 Zr 0.000 0.000 0.000 1
Ge1 Ge 0.000 0.500 0.500 1
As1 As 0.500 0.500 0.000 1
Ru1 Ru 0.500 0.500 0.500 1
# Energy of formation from the pure elements ... 445 meV per atom

---

2.
# GeAs2S PBE relaxed
data_GeAs2S
_chemical_formula_sum 'Ge4 As8 S4'
_space_group_name_H-M_alt 'I -4 2 d'
_space_group_IT_number 122
_space_group_name_Hall 'I -4 2bw'
_cell_length_a 5.286
_cell_length_b 5.286
_cell_length_c 14.066
_cell_angle_alpha 90.00
_cell_angle_beta 90.00
_cell_angle_gamma 90.00
loop_
_atom_site_label
_atom_site_type_symbol
_atom_site_fract_x
_atom_site_fract_y
_atom_site_fract_z
_atom_site_occupancy
Ge1 Ge 0.000 0.000 0.000 1
As1 As 0.228 0.250 0.625 1
S1 S 0.000 0.000 0.500 1
# Formation energy (no corrections) ... 1.28 eV/f.u.

---

3.
# GeAsS3 PBE relaxed
data_GeAsS3
_chemical_formula_sum 'Ge4 As4 S12'
_space_group_name_H-M_alt 'C 1 2/m 1'
_space_group_IT_number 12
_cell_length_a 22.116
_cell_length_b 3.433
_cell_length_c 6.993
_cell_angle_alpha 90.00
_cell_angle_beta 91.60
_cell_angle_gamma 90.00
loop_
_space_group_symop_operation_xyz
'x,y,z'
'-x,-y,-z'
'-x,y,-z'
'x,-y,z'
'x+1/2,y+1/2,z'
'-x+1/2,-y+1/2,-z'
'-x+1/2,y+1/2,-z'
'x+1/2,-y+1/2,z'
loop_
_atom_site_label
_atom_site_type_symbol
_atom_site_fract_x
_atom_site_fract_y
_atom_site_fract_z
_atom_site_occupancy
Ge1 Ge 0.112 0.000 0.081 1
As1 As 0.091 0.500 0.499 1
S1 S 0.032 0.500 0.237 1
S2 S 0.161 0.000 0.402 1
S3 S 0.166 0.500 0.946 1
# Formation energy (no corrections) ... -0.30 eV/f.u.

---

4.
# GeAsS PBE relaxed
data_GeAsS
_chemical_formula_sum 'Ge4 As4 S4'
_space_group_name_H-M_alt 'C 1 2/m 1'
_space_group_IT_number 12
_cell_length_a 14.552
_cell_length_b 3.260
_cell_length_c 7.222
_cell_angle_alpha 90.00
_cell_angle_beta 110.31
_cell_angle_gamma 90.00
loop_
_space_group_symop_operation_xyz
'x,y,z'
'-x,-y,-z'
'-x,y,-z'
'x,-y,z'
'x+1/2,y+1/2,z'
'-x+1/2,-y+1/2,-z'
'-x+1/2,y+1/2,-z'
'x+1/2,-y+1/2,z'
loop_
_atom_site_label
_atom_site_type_symbol
_atom_site_fract_x
_atom_site_fract_y
_atom_site_fract_z
_atom_site_occupancy
Ge1 Ge 0.069 0.000 0.370 1
As1 As 0.114 0.000 0.735 1
S1 S 0.134 0.500 0.244 1
# Formation energy (no corrections) ... -0.12 eV/f.u.

---

5.
# GeAsS4 PBE relaxed
data_GeAsS4
_chemical_formula_sum 'Ge4 As4 S16'
_space_group_name_H-M_alt 'C 1 2/m 1'
_space_group_IT_number 12
_cell_length_a 18.473
_cell_length_b 4.021
_cell_length_c 11.161
_cell_angle_alpha 90.00
_cell_angle_beta 120.83
_cell_angle_gamma 90.00
loop_
_space_group_symop_operation_xyz
'x,y,z'
'-x,-y,-z'
'-x,y,-z'
'x,-y,z'
'x+1/2,y+1/2,z'
'-x+1/2,-y+1/2,-z'
'-x+1/2,y+1/2,-z'
'x+1/2,-y+1/2,z'
loop_
_atom_site_label
_atom_site_type_symbol
_atom_site_fract_x
_atom_site_fract_y
_atom_site_fract_z
_atom_site_occupancy
Ge1 Ge 0.094 0.000 0.058 1
As1 As 0.227 0.000 0.715 1
S1 S 0.021 0.000 0.166 1
S2 S 0.110 0.000 0.693 1
S3 S 0.160 0.500 0.042 1
S4 S 0.232 0.000 0.345 1
# Formation energy (no corrections) ... 0.19 eV/f.u.

---

6.
# Ge3As2S PBE relaxed
data_Ge3As2S
_chemical_formula_sum 'Ge6 As4 S2'
_space_group_name_H-M_alt 'I m m 2'
_space_group_IT_number 44
_cell_length_a 3.738
_cell_length_b 10.821
_cell_length_c 7.206
_cell_angle_alpha 90.00
_cell_angle_beta 90.00
_cell_angle_gamma 90.00
loop_
_space_group_symop_operation_xyz
'x,y,z'
'-x,-y,z'
'-x,y,z'
'x,-y,z'
'x+1/2,y+1/2,z+1/2'
'-x+1/2,-y+1/2,z+1/2'
'-x+1/2,y+1/2,z+1/2'
'x+1/2,-y+1/2,z+1/2'
loop_
_atom_site_label
_atom_site_type_symbol
_atom_site_fract_x
_atom_site_fract_y
_atom_site_fract_z
_atom_site_occupancy
Ge1 Ge 0.000 0.000 0.000 1
Ge2 Ge 0.000 0.368 0.879 1
As1 As 0.000 0.202 0.165 1
S1 S 0.000 0.500 0.303 1
# Formation energy (no corrections) ... 0.10 eV/f.u.

---

7.
# Ge3AsS PBE relaxed
data_Ge3AsS
_chemical_formula_sum 'Ge3 As1 S1'
_space_group_name_H-M_alt 'P m -3 m'
_space_group_IT_number 221
_space_group_name_Hall '-P 4 2 3'
_cell_length_a 5.059
_cell_length_b 5.059
_cell_length_c 5.059
_cell_angle_alpha 90.00
_cell_angle_beta 90.00
_cell_angle_gamma 90.00
loop_
_atom_site_label
_atom_site_type_symbol
_atom_site_fract_x
_atom_site_fract_y
_atom_site_fract_z
_atom_site_occupancy
Ge1 Ge 0.000 0.000 0.500 1
As1 As 0.000 0.000 0.000 1
S1 S 0.500 0.500 0.500 1
# Formation energy (no corrections) ... 4.13 eV/f.u.

---

8.
# Ge2AsS8 PBE relaxed
data_Ge2AsS8
_chemical_formula_sum 'Ge4 As2 S16'
_space_group_name_H-M_alt 'C 1 2/m 1'
_space_group_IT_number 12
_cell_length_a 10.648
_cell_length_b 11.297
_cell_length_c 5.096
_cell_angle_alpha 90.00
_cell_angle_beta 104.94
_cell_angle_gamma 90.00
loop_
_space_group_symop_operation_xyz
'x,y,z'
'-x,-y,-z'
'-x,y,-z'
'x,-y,z'
'x+1/2,y+1/2,z'
'-x+1/2,-y+1/2,-z'
'-x+1/2,y+1/2,-z'
'x+1/2,-y+1/2,z'
loop_
_atom_site_label
_atom_site_type_symbol
_atom_site_fract_x
_atom_site_fract_y
_atom_site_fract_z
_atom_site_occupancy
Ge1 Ge 0.238 0.000 0.176 1
As1 As 0.000 0.000 0.500 1
S1 S 0.034 0.500 0.706 1
S2 S 0.064 0.160 0.185 1
S3 S 0.234 0.000 0.724 1
# Formation energy (no corrections) ... 0.33 eV/f.u.

---

What did the first record say?
# ZrGe2AsRu PBE relaxed
data_ZrGe2AsRu
_chemical_formula_sum 'Zr1 Ge2 As1 Ru1'
_space_group_name_H-M_alt 'P 4/m m m'
_space_group_IT_number 123
_space_group_name_Hall '-P 4 2'
_cell_length_a 4.621
_cell_length_b 4.621
_cell_length_c 5.250
_cell_angle_alpha 90.00
_cell_angle_beta 90.00
_cell_angle_gamma 90.00
loop_
_atom_site_label
_atom_site_type_symbol
_atom_site_fract_x
_atom_site_fract_y
_atom_site_fract_z
_atom_site_occupancy
Zr1 Zr 0.000 0.000 0.000 1
Ge1 Ge 0.000 0.500 0.500 1
As1 As 0.500 0.500 0.000 1
Ru1 Ru 0.500 0.500 0.500 1
# Energy of formation from the pure elements ... 445 meV per atom